# 1
A relaxed Pr6TeSe5 crystal, computed with PBE.

Properties
Size of the total moment (μB/cell): 0.0
ΔE_f (raw) (eV/atom): -1.77
V (Å³/f.u.): 341

abc: 7.481 7.464 7.472
angles: 60.04 80.38 70.44
Positions (direct):
Pr  0.734  0.087  0.347
Pr  0.266  0.565  0.347
Pr  0.260  0.260  0.000
Pr  0.740  0.740  0.000
Pr  0.734  0.435  0.653
Pr  0.266  0.913  0.653
Te  0.000  0.000  0.000
Se  0.500  0.160  0.681
Se  0.000  0.332  0.335
Se  0.500  0.500  0.000
Se  0.000  0.668  0.665
Se  0.500  0.840  0.319



# 2
A relaxed HoAlNi crystal, computed with PBE.

Properties
Formation energy (kJ/mol of atoms): -57.1
Size of the total moment (μB/cell): 0.0
V (Å³/f.u.): 55

abc: 3.869 6.989 12.129
angles: 90.00 90.00 90.00
Positions (direct):
Ho  0.000  0.247  0.959
Ho  0.000  0.753  0.041
Ho  0.000  0.247  0.541
Ho  0.000  0.753  0.459
Ho  0.000  0.126  0.250
Ho  0.000  0.874  0.750
Al  0.500  0.422  0.134
Al  0.500  0.578  0.866
Al  0.500  0.422  0.366
Al  0.500  0.578  0.634
Al  0.500  0.776  0.250
Al  0.500  0.224  0.750
Ni  0.500  0.047  0.097
Ni  0.500  0.953  0.903
Ni  0.500  0.047  0.403
Ni  0.500  0.953  0.597
Ni  0.000  0.542  0.250
Ni  0.000  0.458  0.750



# 3
A relaxed BSbS2 crystal, computed with PBE.

Properties
Size of the total moment (μB/cell): 0.0
ΔE_f (raw) (eV/atom): 0.24
V (Å³/f.u.): 75

abc: 5.849 5.849 6.008
angles: 60.87 60.87 90.00
Positions (direct):
Sb  0.000  0.000  0.000
Sb  0.750  0.250  0.500
S  0.500  0.125  0.250
S  0.250  0.625  0.250
S  0.375  0.500  0.750
S  0.875  0.750  0.750
B  0.500  0.500  0.000
B  0.250  0.750  0.500



# 4
A relaxed SrTaCoPb2 crystal, computed with PBE.

Properties
Formation energy (kJ/mol of atoms): 118.2
Size of the total moment (μB/cell): 3.2
V (Å³/f.u.): 179

abc: 5.475 5.981 5.475
angles: 90.00 90.00 90.00
Last column: magnetic moment on the atom in μB.
Positions (direct):
Pb  0.000  0.000  0.500  0.00
Pb  0.500  0.000  0.000  0.00
Sr  0.000  0.500  0.000  0.05
Co  0.500  0.500  0.500  2.22
Ta  0.000  0.000  0.000  0.53



# 5
A relaxed BaCa2Be crystal, computed with PBE.

Properties
Formation energy (kJ/mol of atoms): 33.5
Size of the total moment (μB/cell): 0.0
V (Å³/f.u.): 160

abc: 10.621 10.621 10.621
angles: 22.94 22.94 22.94
Positions (direct):
Be  0.750  0.750  0.750
Ca  0.030  0.030  0.030
Ca  0.470  0.470  0.470
Ba  0.250  0.250  0.250



# 6
A relaxed Np2AlRh9 crystal, computed with PBE.

Properties
Formation energy (kJ/mol of atoms): -40.9
Size of the total moment (μB/cell): 3.0
V (Å³/f.u.): 186

abc: 3.976 3.976 11.795
angles: 90.00 90.00 90.00
Last column: magnetic moment on the atom in μB.
Positions (direct):
Np  0.000  0.000  0.327  2.43
Np  0.000  0.000  0.673  2.43
Al  0.000  0.000  0.000  0.00
Rh  0.500  0.500  0.000  -0.08
Rh  0.500  0.500  0.328  -0.28
Rh  0.500  0.500  0.672  -0.28
Rh  0.500  0.000  0.157  -0.17
Rh  0.500  0.000  0.500  -0.31
Rh  0.500  0.000  0.843  -0.17
Rh  0.000  0.500  0.157  -0.17
Rh  0.000  0.500  0.500  -0.31
Rh  0.000  0.500  0.843  -0.17



# 7
A relaxed AcLa7Nd3 crystal, computed with PBE.

Properties
Formation energy (kJ/mol of atoms): 15.6
Size of the total moment (μB/cell): 0.0
V (Å³/f.u.): 424

abc: 8.846 7.441 7.441
angles: 120.00 90.00 90.00
Positions (direct):
Ac  0.439  0.333  0.667
La  0.106  0.165  0.835
La  0.106  0.165  0.329
La  0.128  0.667  0.333
La  0.458  0.834  0.166
La  0.458  0.332  0.166
La  0.458  0.834  0.668
La  0.106  0.671  0.835
Nd  0.785  0.501  0.499
Nd  0.785  0.501  0.002
Nd  0.785  0.998  0.499



# 8
A relaxed Tl2FeSe crystal, computed with PBE.

Properties
Size of the total moment (μB/cell): 2.5
ΔE_f (raw) (eV/atom): 0.10
V (Å³/f.u.): 95

abc: 3.320 3.321 8.605
angles: 90.00 90.00 90.00
Last column: magnetic moment on the atom in μB.
Positions (direct):
Fe  0.000  0.000  0.566  2.55
Se  0.500  0.500  0.667  0.01
Tl  0.000  0.000  0.965  0.00
Tl  0.500  0.500  0.302  -0.03



# 9
A relaxed Bi4IrAu crystal, computed with PBE.

Properties
Formation energy (kJ/mol of atoms): 16.8
Size of the total moment (μB/cell): 0.0
V (Å³/f.u.): 183

abc: 7.808 7.808 7.808
angles: 109.09 109.09 110.24
Positions (direct):
Bi  0.238  0.937  0.700
Bi  0.762  0.453  0.691
Bi  0.687  0.488  0.200
Bi  0.203  0.012  0.191
Bi  0.288  0.488  0.800
Bi  0.821  0.012  0.809
Bi  0.762  0.071  0.309
Bi  0.238  0.538  0.300
Ir  0.253  0.253  0.000
Ir  0.003  0.503  0.500
Au  0.747  0.747  0.000
Au  0.497  0.997  0.500



# 10
A relaxed Y2P4Br crystal, computed with PBE.

Properties
Size of the total moment (μB/cell): 0.0
ΔE_f (raw) (eV/atom): 0.06
V (Å³/f.u.): 162

abc: 4.808 4.808 7.809
angles: 72.07 72.07 90.00
Positions (direct):
Y  0.632  0.632  0.737
Y  0.368  0.368  0.263
P  0.824  0.824  0.351
P  0.176  0.176  0.649
P  0.000  0.500  0.000
P  0.500  0.000  0.000
Br  0.000  0.000  0.000



# 11
A relaxed MgPaAs2 crystal, computed with PBE.

Properties
Formation energy (kJ/mol of atoms): -73.2
Size of the total moment (μB/cell): 0.8
V (Å³/f.u.): 93

abc: 4.109 4.109 6.783
angles: 72.37 72.37 60.00
Last column: magnetic moment on the atom in μB.
Positions (direct):
As  0.253  0.253  0.242  -0.02
As  0.747  0.747  0.758  -0.02
Pa  0.500  0.500  0.500  0.70
Mg  0.000  0.000  0.000  0.00



# 12
A relaxed K5AsS4Cl2 crystal, computed with PBE.

Properties
Size of the total moment (μB/cell): 0.0
ΔE_f (raw) (eV/atom): -1.20
V (Å³/f.u.): 395

abc: 7.605 6.687 9.436
angles: 90.00 90.00 124.66
Positions (direct):
K  0.115  0.396  0.240
K  0.418  0.000  0.500
K  0.115  0.396  0.760
K  0.718  0.604  0.760
K  0.718  0.604  0.240
As  0.400  0.000  0.000
S  0.567  0.000  0.190
S  0.567  0.000  0.810
S  0.384  0.318  0.000
S  0.066  0.682  0.000
Cl  0.944  0.550  0.500
Cl  0.394  0.450  0.500



# 13
A relaxed MgBe2Au crystal, computed with PBE.

Properties
Formation energy (kJ/mol of atoms): -0.2
Size of the total moment (μB/cell): 0.0
V (Å³/f.u.): 54

abc: 2.964 2.964 6.145
angles: 90.00 90.00 90.00
Positions (direct):
Be  0.000  0.000  0.030
Be  0.500  0.500  0.194
Mg  0.000  0.000  0.478
Au  0.500  0.500  0.799



# 14
A relaxed Sb2Pt2Br crystal, computed with PBE.

Properties
Size of the total moment (μB/cell): 0.0
ΔE_f (raw) (eV/atom): -0.08
V (Å³/f.u.): 121

abc: 4.827 4.827 6.201
angles: 67.09 67.09 90.00
Positions (direct):
Sb  0.750  0.250  0.500
Sb  0.250  0.750  0.500
Br  0.000  0.000  0.000
Pt  0.369  0.369  0.261
Pt  0.631  0.631  0.739



# 15
A relaxed NaCd2InCo crystal, computed with PBE.

Properties
Formation energy (kJ/mol of atoms): 8.4
Size of the total moment (μB/cell): 0.0
V (Å³/f.u.): 125

abc: 5.055 5.055 4.907
angles: 90.00 90.00 90.00
Positions (direct):
Na  0.500  0.500  0.500
Cd  0.000  0.500  0.000
Cd  0.500  0.000  0.000
Co  0.000  0.000  0.000
In  0.000  0.000  0.500



# 16
A relaxed LiReTe2 crystal, computed with PBE.

Properties
Size of the total moment (μB/cell): 0.0
ΔE_f (raw) (eV/atom): 0.07
V (Å³/f.u.): 86

abc: 3.407 3.407 7.393
angles: 90.00 90.00 90.00
Positions (direct):
Li  0.000  0.000  0.528
Re  0.500  0.500  0.721
Te  0.000  0.000  0.900
Te  0.500  0.500  0.352



# 17
A relaxed Ho3Tl3GaSe8 crystal, computed with PBE.

Properties
Size of the total moment (μB/cell): 0.0
ΔE_f (raw) (eV/atom): -1.11
V (Å³/f.u.): 445

abc: 8.197 8.197 8.996
angles: 117.07 90.05 120.01
Positions (direct):
Ho  0.500  0.000  0.500
Ho  0.500  0.500  0.500
Ho  0.000  0.500  0.500
Tl  0.000  0.000  0.000
Tl  0.000  0.500  0.000
Tl  0.500  0.500  0.000
Ga  0.000  0.000  0.500
Se  0.264  0.528  0.292
Se  0.736  0.472  0.708
Se  0.778  0.556  0.304
Se  0.222  0.444  0.696
Se  0.778  0.026  0.304
Se  0.222  0.974  0.696
Se  0.248  0.026  0.304
Se  0.752  0.974  0.696



# 18
A relaxed HoTcO4 crystal, computed with PBE.

Properties
Size of the total moment (μB/cell): 4.0
ΔE_f (raw) (eV/atom): -2.30
V (Å³/f.u.): 74

abc: 5.294 7.574 7.453
angles: 99.27 90.00 90.00
Last column: magnetic moment on the atom in μB.
Positions (direct):
Ho  0.714  0.352  0.608  0.03
Ho  0.786  0.352  0.108  0.03
Ho  0.214  0.648  0.892  0.03
Ho  0.286  0.648  0.392  0.03
Tc  0.231  0.163  0.800  0.79
Tc  0.269  0.163  0.300  0.79
Tc  0.731  0.837  0.700  0.79
Tc  0.769  0.837  0.200  0.79
O  0.900  0.061  0.700  0.01
O  0.600  0.061  0.200  0.01
O  0.360  0.171  0.557  0.01
O  0.140  0.171  0.057  0.01
O  0.508  0.319  0.879  0.07
O  0.013  0.391  0.826  0.03
O  0.992  0.319  0.379  0.07
O  0.487  0.391  0.326  0.03
O  0.513  0.609  0.674  0.03
O  0.008  0.681  0.621  0.07
O  0.987  0.609  0.174  0.03
O  0.492  0.681  0.121  0.07
O  0.860  0.829  0.943  0.01
O  0.640  0.829  0.443  0.01
O  0.400  0.939  0.800  0.01
O  0.100  0.939  0.300  0.01



# 19
A relaxed Y2ScAl crystal, computed with PBE.

Properties
Formation energy (kJ/mol of atoms): -13.8
Size of the total moment (μB/cell): 0.0
V (Å³/f.u.): 102

abc: 5.840 5.840 5.840
angles: 133.86 133.86 67.30
Positions (direct):
Y  0.000  0.000  0.000
Y  0.250  0.750  0.500
Sc  0.750  0.250  0.500
Al  0.500  0.500  0.000



# 20
A relaxed PrPuGe2O8 crystal, computed with PBE.

Properties
Size of the total moment (μB/cell): 3.0
ΔE_f (raw) (eV/atom): -2.28
V (Å³/f.u.): 169

abc: 6.044 6.044 6.044
angles: 106.82 106.82 114.92
Last column: magnetic moment on the atom in μB.
Positions (direct):
Pr  0.000  0.000  0.000  0.00
Pu  0.250  0.750  0.500  3.54
Ge  0.750  0.250  0.500  0.01
Ge  0.500  0.500  0.000  0.01
O  0.384  0.060  0.325  -0.06
O  0.326  0.518  0.192  -0.07
O  0.326  0.135  0.808  -0.07
O  0.735  0.060  0.675  -0.06
O  0.865  0.674  0.192  -0.07
O  0.940  0.265  0.325  -0.06
O  0.940  0.616  0.675  -0.06
O  0.482  0.674  0.808  -0.07



no.,Fermi-level density of states (states/eV/atom)
1,0.4762
2,0.6469
3,0.2323
4,1.0663
5,1.4324
6,1.8373
7,1.5461
8,0.8697
9,0.5874
10,0.4573
11,1.0559
12,0.0000
13,0.4008
14,0.7195
15,0.3660
16,0.6089
17,0.3839
18,0.3949
19,1.4455
20,0.5517